{"formula": "ZrCdGe3", "functional": "meta-GGA SCAN", "state": "PBEsol geometry", "dft_energy_ev_per_cell": -113.57, "formation_enthalpy_0k_ev_per_atom": 0.96, "m_tot_mub_per_cell": 0.000, "sg": "Pm-3m (221)", "lattice": [[4.934, 0.000, 0.000], [0.000, 4.934, 0.000], [0.000, 0.000, 4.934]], "species": ["Zr", "Cd", "Ge", "Ge", "Ge"], "fractional_positions": [[0.000, 0.000, 0.000], [0.500, 0.500, 0.500], [0.000, 0.500, 0.500], [0.500, 0.000, 0.500], [0.500, 0.500, 0.000]]}

---

{"formula": "AlRhPb2", "functional": "meta-GGA SCAN", "state": "PBEsol geometry", "dft_energy_ev_per_cell": -192.18, "formation_enthalpy_0k_ev_per_atom": 0.23, "m_tot_mub_per_cell": 0.000, "sg": "C2/m (12)", "lattice": [[4.442, -1.702, 0.000], [4.442, 1.702, 0.000], [-1.448, 0.000, 5.618]], "species": ["Al", "Rh", "Pb", "Pb"], "fractional_positions": [[0.000, 0.000, 0.000], [0.500, 0.500, 0.500], [0.239, 0.239, 0.731], [0.761, 0.761, 0.269]]}

---

{"formula": "YZrAu2", "functional": "meta-GGA SCAN", "state": "PBEsol geometry", "dft_energy_ev_per_cell": -200.62, "formation_enthalpy_0k_ev_per_atom": -0.94, "m_tot_mub_per_cell": 0.000, "sg": "Pm (6)", "lattice": [[3.539, 0.000, 0.000], [0.000, 4.503, 0.000], [-1.366, 0.000, 5.321]], "species": ["Y", "Zr", "Au", "Au"], "fractional_positions": [[0.000, 0.000, 0.000], [0.746, 0.500, 0.431], [0.303, 0.000, 0.537], [0.454, 0.500, 0.881]]}

---

{"formula": "Fe3RhC", "functional": "meta-GGA SCAN", "state": "PBEsol geometry", "dft_energy_ev_per_cell": -97.79, "formation_enthalpy_0k_ev_per_atom": 0.09, "m_tot_mub_per_cell": 8.961, "sg": "Pm-3m (221)", "lattice": [[3.751, 0.000, 0.000], [0.000, 3.751, 0.000], [0.000, 0.000, 3.751]], "species": ["Fe", "Fe", "Fe", "Rh", "C"], "fractional_positions": [[0.000, 0.000, 0.500], [0.000, 0.500, 0.000], [0.500, 0.000, 0.000], [0.500, 0.500, 0.500], [0.000, 0.000, 0.000]]}